Entry 1:
Material: Ba2MgZn2
Method: DFT, GGA-PBEsol
State: optimized geometry

Geometry as CIF:
```
data_Ba2MgZn2
_cell_length_a 7.913
_cell_length_b 7.913
_cell_length_c 4.990
_cell_angle_alpha 90.00
_cell_angle_beta 90.00
_cell_angle_gamma 90.00
_space_group_name_H-M_alt 'P 4/m b m'
_space_group_IT_number 127
_space_group_name_Hall '-P 4 2ab'
loop_
_atom_site_label
_atom_site_fract_x
_atom_site_fract_y
_atom_site_fract_z
_atom_site_occupancy
Ba1 0.187 0.313 0.000 1
Mg1 0.000 0.000 0.500 1
Zn1 0.113 0.613 0.500 1
```

- M_tot (μB/f.u.) = 0.00
- crystal system = tetragonal
- calculated formation energy (meV/atom) = -74.7
- density of states at the Fermi level (states/eV/cell) = 9.18

Entry 2:
Material: TaTl2Os
Method: DFT, GGA-PBEsol
State: optimized geometry

Geometry as CIF:
```
data_TaTl2Os
_cell_length_a 3.078
_cell_length_b 4.834
_cell_length_c 5.078
_cell_angle_alpha 90.00
_cell_angle_beta 90.00
_cell_angle_gamma 90.00
_space_group_name_H-M_alt 'P m m m'
_space_group_IT_number 47
loop_
_space_group_symop_operation_xyz
'x,y,z'
'-x,-y,-z'
'-x,-y,z'
'x,y,-z'
'x,-y,-z'
'-x,y,z'
'-x,y,-z'
'x,-y,z'
loop_
_atom_site_label
_atom_site_fract_x
_atom_site_fract_y
_atom_site_fract_z
_atom_site_occupancy
Ta1 0.000 0.000 0.000 1
Tl1 0.000 0.500 0.500 1
Tl2 0.500 0.500 0.000 1
Os1 0.500 0.000 0.500 1
```

- M_tot (μB/f.u.) = 0.00
- crystal system = orthorhombic
- calculated formation energy (meV/atom) = 776.8
- density of states at the Fermi level (states/eV/cell) = 2.74

Entry 3:
Material: BeHg
Method: DFT, GGA-PBEsol
State: optimized geometry

Geometry as CIF:
```
data_BeHg
_cell_length_a 3.400
_cell_length_b 3.400
_cell_length_c 5.230
_cell_angle_alpha 90.00
_cell_angle_beta 90.00
_cell_angle_gamma 90.00
_space_group_name_H-M_alt 'P 4/n m m'
_space_group_IT_number 129
loop_
_space_group_symop_operation_xyz
'x,y,z'
'-x,-y,-z'
'-y+1/2,x,z'
'y+1/2,-x,-z'
'-x+1/2,-y+1/2,z'
'x+1/2,y+1/2,-z'
'y,-x+1/2,z'
'-y,x+1/2,-z'
'x+1/2,-y,-z'
'-x+1/2,y,z'
'-y,-x,-z'
'y,x,z'
'-x,y+1/2,-z'
'x,-y+1/2,z'
'y+1/2,x+1/2,-z'
'-y+1/2,-x+1/2,z'
loop_
_atom_site_label
_atom_site_fract_x
_atom_site_fract_y
_atom_site_fract_z
_atom_site_occupancy
Be1 0.250 0.250 0.134 1
Hg1 0.250 0.250 0.680 1
```

- M_tot (μB/f.u.) = 0.00
- crystal system = tetragonal
- calculated formation energy (meV/atom) = 369.9
- density of states at the Fermi level (states/eV/cell) = 0.99

Entry 4:
Material: Zr2ZnCl
Method: DFT, GGA-PBEsol
State: optimized geometry

Geometry as CIF:
```
data_Zr2ZnCl
_cell_length_a 3.197
_cell_length_b 4.458
_cell_length_c 5.401
_cell_angle_alpha 90.00
_cell_angle_beta 90.00
_cell_angle_gamma 90.00
_space_group_name_H-M_alt 'P m m m'
_space_group_IT_number 47
loop_
_space_group_symop_operation_xyz
'x,y,z'
'-x,-y,-z'
'-x,-y,z'
'x,y,-z'
'x,-y,-z'
'-x,y,z'
'-x,y,-z'
'x,-y,z'
loop_
_atom_site_label
_atom_site_fract_x
_atom_site_fract_y
_atom_site_fract_z
_atom_site_occupancy
Zr1 0.000 0.000 0.000 1
Zr2 0.500 0.000 0.500 1
Zn1 0.000 0.500 0.500 1
Cl1 0.500 0.500 0.000 1
```

- M_tot (μB/f.u.) = 0.00
- crystal system = orthorhombic
- raw formation energy (meV/atom) = -170.1
- density of states at the Fermi level (states/eV/cell) = 3.72

Entry 5:
Material: RbGa2Sn2
Method: DFT, GGA-PBEsol
State: optimized geometry

Geometry as CIF:
```
data_RbGa2Sn2
_cell_length_a 4.958
_cell_length_b 4.958
_cell_length_c 11.061
_cell_angle_alpha 90.00
_cell_angle_beta 90.00
_cell_angle_gamma 90.00
_space_group_name_H-M_alt 'I 4/m m m'
_space_group_IT_number 139
_space_group_name_Hall '-I 4 2'
loop_
_atom_site_label
_atom_site_fract_x
_atom_site_fract_y
_atom_site_fract_z
_atom_site_occupancy
Rb1 0.000 0.000 0.000 1
Ga1 0.000 0.500 0.250 1
Sn1 0.000 0.000 0.369 1
```

- M_tot (μB/f.u.) = 0.00
- crystal system = tetragonal
- calculated formation energy (meV/atom) = -170.2
- density of states at the Fermi level (states/eV/cell) = 2.19

Entry 6:
Material: CeSi3Os
Method: DFT, GGA-PBEsol
State: optimized geometry

Geometry as CIF:
```
data_CeSi3Os
_cell_length_a 4.158
_cell_length_b 4.158
_cell_length_c 9.937
_cell_angle_alpha 90.00
_cell_angle_beta 90.00
_cell_angle_gamma 90.00
_space_group_name_H-M_alt 'I 4 m m'
_space_group_IT_number 107
_space_group_name_Hall 'I 4 -2'
loop_
_atom_site_label
_atom_site_fract_x
_atom_site_fract_y
_atom_site_fract_z
_atom_site_occupancy
Ce1 0.000 0.000 0.000 1
Si1 0.000 0.000 0.575 1
Si2 0.000 0.500 0.230 1
Os1 0.000 0.000 0.341 1
```

- M_tot (μB/f.u.) = 0.00
- crystal system = tetragonal
- raw formation energy (meV/atom) = -689.3
- density of states at the Fermi level (states/eV/cell) = 5.90

> Which of these has the highest density of states at the Fermi level?

Ba2MgZn2

> Which value of M_tot does entry 3 give?

0.00 μB/f.u.

> What is the M_tot in the third record?

0.00 μB/f.u.